No. 1
SCAN NaLa2OsO6, single point on PBEsol structure; electronic total energy = -22.62 eV/atom; SG = P2_1/c; total magnetization = 3.0 μB per formula unit; formation energy without anion corrections = -2.65 eV/atom
1.0
5.571 0.000 0.000
0.000 5.963 0.000
-5.463 0.000 8.000
Na La Os O
2 4 2 12
Direct
0.000 0.000 0.000
0.000 0.500 0.500
0.228 0.068 0.747
0.228 0.432 0.247
0.772 0.568 0.753
0.772 0.932 0.253
0.500 0.000 0.500
0.500 0.500 0.000
0.159 0.175 0.450
0.159 0.325 0.950
0.268 0.721 0.434
0.268 0.779 0.934
0.382 0.047 0.268
0.382 0.453 0.768
0.618 0.547 0.232
0.618 0.953 0.732
0.732 0.221 0.066
0.732 0.279 0.566
0.841 0.675 0.050
0.841 0.825 0.550

---

No. 2
SCAN NaLa2RuO6, single point on PBEsol structure; electronic total energy = -18.95 eV/atom; SG = P2_1/c; total magnetization = 3.0 μB per formula unit; formation energy without anion corrections = -2.69 eV/atom
1.0
5.550 0.000 0.000
0.000 5.932 0.000
-5.460 0.000 7.959
Na La Ru O
2 4 2 12
Direct
0.000 0.000 0.000
0.000 0.500 0.500
0.229 0.068 0.747
0.229 0.432 0.247
0.771 0.568 0.753
0.771 0.932 0.253
0.500 0.000 0.500
0.500 0.500 0.000
0.162 0.174 0.451
0.162 0.326 0.951
0.269 0.722 0.436
0.269 0.778 0.936
0.379 0.044 0.269
0.379 0.456 0.769
0.621 0.544 0.231
0.621 0.956 0.731
0.731 0.222 0.064
0.731 0.278 0.564
0.838 0.674 0.049
0.838 0.826 0.549

---

No. 3
SCAN NaLaSe2O6, single point on PBEsol structure; electronic total energy = -14.45 eV/atom; SG = P2_1/c; total magnetization = 0.0 μB per formula unit; formation energy without anion corrections = -1.97 eV/atom
1.0
6.646 0.000 0.000
0.000 6.737 0.000
-4.130 0.000 12.901
Na La Se O
4 4 8 24
Direct
0.077 0.170 0.382
0.077 0.330 0.882
0.923 0.670 0.118
0.923 0.830 0.618
0.494 0.619 0.836
0.494 0.881 0.336
0.506 0.119 0.664
0.506 0.381 0.164
0.033 0.161 0.139
0.033 0.339 0.639
0.376 0.646 0.567
0.376 0.854 0.067
0.624 0.146 0.933
0.624 0.354 0.433
0.967 0.661 0.361
0.967 0.839 0.861
0.123 0.662 0.830
0.123 0.838 0.330
0.134 0.212 0.555
0.134 0.288 0.055
0.256 0.171 0.245
0.256 0.329 0.745
0.304 0.720 0.161
0.304 0.780 0.661
0.448 0.518 0.356
0.448 0.982 0.856
0.469 0.179 0.466
0.469 0.321 0.966
0.531 0.679 0.034
0.531 0.821 0.534
0.552 0.018 0.144
0.552 0.482 0.644
0.696 0.220 0.339
0.696 0.280 0.839
0.744 0.671 0.255
0.744 0.829 0.755
0.866 0.712 0.945
0.866 0.788 0.445
0.877 0.162 0.670
0.877 0.338 0.170

---

No. 4
SCAN Na2SrLa2Ti5O15, single point on PBEsol structure; electronic total energy = -14.98 eV/atom; SG = C2; total magnetization = 0.0 μB per formula unit; formation energy without anion corrections = -3.36 eV/atom
1.0
19.449 -2.735 0.000
19.449 2.735 0.000
-0.762 0.000 5.416
Na Sr La Ti O
4 2 4 10 30
Direct
0.100 0.100 0.071
0.296 0.303 0.310
0.697 0.704 0.690
0.900 0.900 0.929
0.495 0.505 0.500
0.992 0.008 0.000
0.198 0.203 0.193
0.393 0.406 0.431
0.594 0.607 0.569
0.797 0.802 0.807
0.045 0.057 0.540
0.145 0.156 0.633
0.247 0.253 0.750
0.347 0.352 0.869
0.448 0.451 0.964
0.549 0.552 0.036
0.648 0.653 0.131
0.747 0.753 0.250
0.844 0.855 0.367
0.943 0.955 0.460
0.022 0.466 0.464
0.036 0.964 0.500
0.037 0.164 0.610
0.074 0.637 0.634
0.135 0.576 0.138
0.175 0.713 0.709
0.215 0.673 0.222
0.237 0.362 0.798
0.253 0.148 0.703
0.287 0.825 0.291
0.327 0.785 0.778
0.363 0.926 0.366
0.424 0.865 0.862
0.449 0.350 0.891
0.450 0.550 0.000
0.477 0.034 0.032
0.534 0.978 0.536
0.565 0.124 0.567
0.622 0.066 0.063
0.638 0.763 0.202
0.650 0.551 0.109
0.677 0.230 0.683
0.714 0.195 0.192
0.770 0.323 0.317
0.805 0.286 0.808
0.836 0.963 0.390
0.852 0.747 0.297
0.876 0.435 0.433
0.934 0.378 0.937
0.966 0.523 0.968

---

> Which value of total magnetization does entry 2 give?

3.0 μB per formula unit

---

> Among the records above, which one has the lowest electronic total energy?

NaLa2OsO6

---

> Which value of electronic total energy does entry 3 give?

-14.45 eV/atom